# 1
Crystalline LaCl2 at its relaxed geometry. Source: the Alexandria database, functional PBE.

```
6
Lattice="-3.212 5.035 4.580 2.610 -6.929 -1.346 4.690 1.434 1.712" Properties=species:S:1:pos:R:3 pbc="T T T"
La 5.489 -4.542 0.588
La -1.401 4.081 4.358
Cl 1.702 3.242 4.443
Cl 3.544 -0.544 2.568
Cl 2.387 -3.702 0.503
Cl 0.545 0.084 2.378
```

Properties
The total energy is -4.83 eV per atom. The value obtained for the total magnetization is 0.2 μB per formula unit.

# 2
Crystalline CrPdW2 at its relaxed geometry. Source: the Alexandria database, functional PBE.

```
8
Lattice="-3.137 -0.802 1.857 0.291 -3.570 -1.050 3.710 -4.078 8.258" Properties=species:S:1:pos:R:3 pbc="T T T"
Cr -1.423 -2.186 0.403
Cr 1.289 -4.917 3.806
Pd 0.000 0.000 0.000
Pd -0.425 -3.533 5.259
W -0.956 -1.957 3.070
W 0.677 -3.361 1.664
W 1.719 -4.744 6.482
W 0.289 -6.838 6.913
```

Properties
The calculation puts the formation energy at 0.784 eV per atom. The energy above the lowest structure with this stoichiometry comes out at 142.8 kJ/mol of formula units. The value obtained for the total magnetization is 2.8 μB per formula unit.

# 3
Crystalline ScVGa at its relaxed geometry. Source: the Alexandria database, functional PBE.

```
3
Lattice="2.754 0.000 0.000 0.000 4.567 0.000 0.000 -2.284 3.955" Properties=species:S:1:pos:R:3 pbc="T T T"
Sc 0.459 2.284 1.318
Ga 1.837 0.000 2.637
V 0.458 0.000 0.000
```

Properties
The calculation puts the formation energy at 0.037 eV per atom. The energy above the lowest structure with this stoichiometry comes out at 54.8 kJ/mol of formula units. The value obtained for the total magnetization is 1.1 μB per formula unit.

# 4
Crystalline AcNd2Th at its relaxed geometry. Source: the Alexandria database, functional PBE.

```
8
Lattice="-2.618 -0.872 -2.513 -0.521 -0.828 3.602 -10.515 21.628 3.448" Properties=species:S:1:pos:R:3 pbc="T T T"
Ac -9.106 15.378 4.150
Ac -4.548 4.550 0.387
Nd -5.243 7.432 2.883
Nd -8.411 12.497 1.654
Nd -11.199 18.231 2.569
Nd -2.455 1.697 1.968
Th -5.257 10.814 1.724
Th 0.000 0.000 0.000
```

Properties
The calculation puts the formation energy at 0.056 eV per atom. The energy above the lowest structure with this stoichiometry comes out at 4.5 kJ/mol of formula units. The value obtained for the total magnetization is 0.0 μB per formula unit.

# 5
Crystalline PmHo6Th4 at its relaxed geometry. Source: the Alexandria database, functional PBE.

```
11
Lattice="7.919 0.000 0.000 0.000 7.919 0.000 -3.960 -3.960 6.386" Properties=species:S:1:pos:R:3 pbc="T T T"
Pm 3.960 3.960 0.000
Ho 6.056 1.863 2.364
Ho 1.863 6.056 2.364
Ho 2.096 2.096 4.021
Ho 0.000 3.960 0.000
Ho -2.096 -2.096 4.021
Ho 3.960 0.000 0.000
Th -2.640 2.640 5.446
Th 6.600 6.600 0.940
Th 2.640 -2.640 5.446
Th 1.319 1.319 0.940
```

Properties
The calculation puts the formation energy at 0.497 eV per atom. The energy above the lowest structure with this stoichiometry comes out at 346.0 kJ/mol of formula units. The value obtained for the total magnetization is 0.0 μB per formula unit.

# 6
Crystalline YTcN2 at its relaxed geometry. Source: the Alexandria database, functional PBE.

```
16
Lattice="-1.256 0.035 2.890 4.343 -3.083 1.926 5.413 9.025 2.242" Properties=species:S:1:pos:R:3 pbc="T T T"
Y 0.189 1.131 2.646
Y 8.312 4.847 4.413
Y 3.462 1.427 4.065
Y 5.038 4.551 2.993
Tc 2.649 -0.849 2.021
Tc 2.136 3.458 1.745
Tc 5.851 6.826 5.037
Tc 6.365 2.520 5.313
N 2.824 3.746 3.759
N 5.676 2.232 3.299
N 2.323 -2.251 3.615
N 6.177 8.228 3.443
N 3.884 6.309 4.189
N 2.493 1.291 1.927
N 6.007 4.687 5.131
N 4.616 -0.332 2.870
```

Properties
The energy above the lowest structure with this stoichiometry comes out at 0.0 kJ/mol of formula units. The value obtained for the total magnetization is 0.0 μB per formula unit.

# 7
Crystalline Pr2MgS4 at its relaxed geometry. Source: the Alexandria database, functional PBE.

```
28
Lattice="-2.555 2.941 -0.907 -7.806 -8.625 -5.977 -6.853 -2.210 12.139" Properties=species:S:1:pos:R:3 pbc="T T T"
Pr -9.436 -5.912 3.001
Pr -7.778 -1.982 2.254
Pr -9.256 -5.513 -5.030
Pr -7.958 -2.382 10.285
Pr -6.972 -5.147 -1.461
Pr -10.242 -2.747 6.715
Pr -13.569 -6.874 2.705
Pr -3.645 -1.021 2.549
Mg -13.251 -5.148 7.407
Mg -3.963 -2.746 -2.152
Mg -10.804 -8.006 0.063
Mg -6.410 0.112 5.192
S -6.584 -2.349 -2.299
S -10.630 -5.545 7.553
S -4.842 -0.625 7.204
S -12.372 -7.269 -1.949
S -7.367 -4.629 1.334
S -9.847 -3.265 3.921
S -15.615 -8.179 4.236
S -1.599 0.285 1.018
S -11.454 -7.227 4.420
S -5.760 -0.667 0.835
S -9.575 -4.951 -2.310
S -7.639 -2.943 7.565
S -11.477 -5.592 0.968
S -5.737 -2.302 4.286
S -6.431 -5.580 -4.386
S -10.783 -2.314 9.641
```

Properties
The energy above the lowest structure with this stoichiometry comes out at 44.0 kJ/mol of formula units. The value obtained for the total magnetization is 0.0 μB per formula unit.

# 8
Crystalline CsTlPb at its relaxed geometry. Source: the Alexandria database, functional PBE.

```
6
Lattice="-3.833 3.676 1.565 0.753 -1.554 5.495 5.747 4.473 3.567" Properties=species:S:1:pos:R:3 pbc="T T T"
Cs 3.186 4.775 8.899
Cs 4.590 3.502 5.534
Tl 2.325 2.386 2.610
Tl -1.049 2.973 2.761
Pb 0.631 3.504 5.630
Pb 1.398 0.300 5.237
```

Properties
The calculation puts the formation energy at -0.093 eV per atom. The value obtained for the total magnetization is 0.0 μB per formula unit.

# 9
Crystalline TmZrPtAu at its relaxed geometry. Source: the Alexandria database, functional PBE.

```
4
Lattice="4.872 0.000 0.000 2.436 4.219 0.000 2.436 1.406 3.978" Properties=species:S:1:pos:R:3 pbc="T T T"
Tm 2.436 1.406 0.995
Au 0.000 0.000 0.000
Zr 7.308 4.219 2.984
Pt 4.872 2.813 1.989
```

Properties
The calculation puts the formation energy at -0.850 eV per atom. The value obtained for the total magnetization is 0.0 μB per formula unit.

# 10
Crystalline Ca3AlAs3 at its relaxed geometry. Source: the Alexandria database, functional PBE.

```
28
Lattice="4.219 0.000 0.000 0.000 12.302 0.000 0.000 0.000 13.472" Properties=species:S:1:pos:R:3 pbc="T T T"
Ca 1.055 10.488 6.744
Ca 1.055 4.337 13.464
Ca 3.165 1.814 6.728
Ca 3.165 2.803 2.864
Ca 3.165 5.340 5.291
Ca 1.055 6.962 8.181
Ca 3.165 11.491 1.445
Ca 1.055 0.811 12.027
Ca 1.055 3.348 9.601
Ca 3.165 8.954 3.872
Ca 1.055 9.499 10.608
Ca 3.165 7.965 0.008
Al 3.165 11.555 9.464
Al 1.055 0.747 4.008
Al 1.055 6.898 2.728
Al 3.165 5.404 10.744
As 3.165 5.641 2.005
As 1.055 6.661 11.467
As 3.165 11.792 4.731
As 1.055 0.510 8.741
As 3.165 4.873 8.276
As 1.055 7.429 5.196
As 3.165 11.024 11.932
As 1.055 1.278 1.540
As 3.165 3.112 11.796
As 1.055 9.190 1.676
As 3.165 9.263 8.412
As 1.055 3.039 5.060
```

Properties
The calculation puts the formation energy at -1.070 eV per atom. The value obtained for the total magnetization is 0.0 μB per formula unit.

# 11
Crystalline SrRhN2F at its relaxed geometry. Source: the Alexandria database, functional PBE.

```
5
Lattice="3.782 0.000 0.000 0.000 3.782 0.000 0.000 0.000 5.445" Properties=species:S:1:pos:R:3 pbc="T T T"
Sr 1.891 1.891 2.722
N 0.000 1.891 0.000
N 1.891 0.000 0.000
Rh 0.000 0.000 0.000
F 0.000 0.000 2.722
```

Properties
The energy above the lowest structure with this stoichiometry comes out at 0.0 kJ/mol of formula units. The value obtained for the total magnetization is 0.0 μB per formula unit.

# 12
Crystalline Ba4Sr4Ca at its relaxed geometry. Source: the Alexandria database, functional PBE.

```
18
Lattice="-7.737 -1.052 7.916 8.489 -5.668 -4.407 8.709 5.823 9.287" Properties=species:S:1:pos:R:3 pbc="T T T"
Ba 9.958 0.155 6.393
Ba 5.607 -2.789 1.767
Ba 4.545 1.218 5.528
Ba 8.898 4.129 10.171
Ba 4.917 -2.115 7.267
Ba 0.563 -5.026 2.625
Ba -0.497 -1.053 6.402
Ba 3.854 1.892 11.028
Sr 9.695 -1.861 2.628
Sr 5.340 -4.772 -2.016
Sr 0.300 2.900 13.730
Sr -4.052 -0.038 9.100
Sr 13.513 -0.859 3.695
Sr 9.162 -3.798 -0.934
Sr -4.588 -1.948 5.524
Sr -0.233 0.963 10.167
Ca 6.907 1.015 8.715
Ca 2.554 -1.913 4.080
```

Properties
The calculation puts the formation energy at 0.160 eV per atom. The energy above the lowest structure with this stoichiometry comes out at 123.2 kJ/mol of formula units. The value obtained for the total magnetization is 0.0 μB per formula unit.